! TbTm2Se3 | the Open Quantum Materials Database | GGA-PBE | relaxed; values from VASP
! - energy (eV/atom) = -5.7014
! - space group = P-3m1, No. 164
&SYSTEM
  ibrav = 0, nat = 6, ntyp = 3
/
ATOMIC_SPECIES
Tb 158.93 Tb.upf
Tm 168.93 Tm.upf
Se 78.96 Se.upf
ATOMIC_POSITIONS crystal
Tb 0.000 0.000 0.000
Tm 0.333 0.667 0.666
Tm 0.667 0.333 0.334
Se 0.000 0.000 0.500
Se 0.333 0.667 0.173
Se 0.667 0.333 0.827
CELL_PARAMETERS angstrom
4.024 0.000 0.000
-2.012 3.485 0.000
0.000 0.000 9.925


! Tb3WSe | the Open Quantum Materials Database | GGA-PBE | relaxed; values from VASP
! - energy (eV/atom) = -5.7136
! - space group = Pm-3m, No. 221
&SYSTEM
  ibrav = 0, nat = 5, ntyp = 3
/
ATOMIC_SPECIES
Tb 158.93 Tb.upf
W 183.84 W.upf
Se 78.96 Se.upf
ATOMIC_POSITIONS crystal
Tb 0.000 0.000 0.500
Tb 0.000 0.500 0.000
Tb 0.500 0.000 0.000
W 0.500 0.500 0.500
Se 0.000 0.000 0.000
CELL_PARAMETERS angstrom
5.273 0.000 0.000
0.000 5.273 0.000
0.000 0.000 5.273


! Tb2YSe3 | the Open Quantum Materials Database | GGA-PBE | relaxed; values from VASP
! - energy (eV/atom) = -6.1325
! - space group = P-3m1, No. 164
&SYSTEM
  ibrav = 0, nat = 6, ntyp = 3
/
ATOMIC_SPECIES
Tb 158.93 Tb.upf
Y 88.91 Y.upf
Se 78.96 Se.upf
ATOMIC_POSITIONS crystal
Tb 0.333 0.667 0.167
Tb 0.667 0.333 0.833
Y 0.000 0.000 0.500
Se 0.000 0.000 0.000
Se 0.333 0.667 0.666
Se 0.667 0.333 0.334
CELL_PARAMETERS angstrom
4.060 0.000 0.000
-2.030 3.516 0.000
0.000 0.000 10.110


! Tb6YSe8 | the Open Quantum Materials Database | GGA-PBE | relaxed; values from VASP
! - energy (eV/atom) = -5.9941
! - space group = Fm-3m, No. 225
&SYSTEM
  ibrav = 0, nat = 15, ntyp = 3
/
ATOMIC_SPECIES
Tb 158.93 Tb.upf
Y 88.91 Y.upf
Se 78.96 Se.upf
ATOMIC_POSITIONS crystal
Tb 0.000 0.000 0.500
Tb 0.000 0.500 0.000
Tb 0.000 0.500 0.500
Tb 0.500 0.000 0.000
Tb 0.500 0.000 0.500
Tb 0.500 0.500 0.000
Y 0.000 0.000 0.000
Se 0.250 0.250 0.250
Se 0.253 0.253 0.747
Se 0.253 0.747 0.253
Se 0.253 0.747 0.747
Se 0.747 0.253 0.253
Se 0.747 0.253 0.747
Se 0.747 0.747 0.253
Se 0.750 0.750 0.750
CELL_PARAMETERS angstrom
0.000 5.758 5.758
5.758 0.000 5.758
5.758 5.758 0.000


! TbY2Se3 | the Open Quantum Materials Database | GGA-PBE | relaxed; values from VASP
! - energy (eV/atom) = -6.4355
! - space group = P-3m1, No. 164
&SYSTEM
  ibrav = 0, nat = 6, ntyp = 3
/
ATOMIC_SPECIES
Tb 158.93 Tb.upf
Y 88.91 Y.upf
Se 78.96 Se.upf
ATOMIC_POSITIONS crystal
Tb 0.000 0.000 0.000
Y 0.333 0.667 0.667
Y 0.667 0.333 0.333
Se 0.000 0.000 0.500
Se 0.333 0.667 0.167
Se 0.667 0.333 0.833
CELL_PARAMETERS angstrom
4.058 0.000 0.000
-2.029 3.515 0.000
0.000 0.000 10.105


! Tc3Te4Se2 | the Open Quantum Materials Database | GGA-PBE | relaxed; values from VASP
! - energy (eV/atom) = -5.7463
! - space group = C2/m, No. 12
&SYSTEM
  ibrav = 0, nat = 9, ntyp = 3
/
ATOMIC_SPECIES
Tc 98.00 Tc.upf
Te 127.60 Te.upf
Se 78.96 Se.upf
ATOMIC_POSITIONS crystal
Tc 0.000 0.000 0.000
Tc 0.323 0.323 0.520
Tc 0.677 0.677 0.480
Te 0.215 0.215 0.796
Te 0.450 0.450 0.291
Te 0.550 0.550 0.709
Te 0.785 0.785 0.204
Se 0.118 0.118 0.235
Se 0.882 0.882 0.765
CELL_PARAMETERS angstrom
9.327 -1.884 0.000
9.327 1.884 0.000
-0.282 0.000 5.686


! TcTe2Se4 | the Open Quantum Materials Database | GGA-PBE | relaxed; values from VASP
! - energy (eV/atom) = -4.2763
! - space group = Fd-3m, No. 227
&SYSTEM
  ibrav = 0, nat = 14, ntyp = 3
/
ATOMIC_SPECIES
Tc 98.00 Tc.upf
Te 127.60 Te.upf
Se 78.96 Se.upf
ATOMIC_POSITIONS crystal
Tc 0.125 0.125 0.125
Tc 0.875 0.875 0.875
Te 0.000 0.500 0.500
Te 0.500 0.000 0.500
Te 0.500 0.500 0.000
Te 0.500 0.500 0.500
Se 0.224 0.759 0.759
Se 0.241 0.241 0.241
Se 0.241 0.241 0.776
Se 0.241 0.776 0.241
Se 0.759 0.224 0.759
Se 0.759 0.759 0.224
Se 0.759 0.759 0.759
Se 0.776 0.241 0.241
CELL_PARAMETERS angstrom
0.000 5.811 5.811
5.811 0.000 5.811
5.811 5.811 0.000


! Tl2TcSe4 | the Open Quantum Materials Database | GGA-PBE | relaxed; values from VASP
! - energy (eV/atom) = -4.3181
! - space group = Fd-3m, No. 227
&SYSTEM
  ibrav = 0, nat = 14, ntyp = 3
/
ATOMIC_SPECIES
Tl 204.38 Tl.upf
Tc 98.00 Tc.upf
Se 78.96 Se.upf
ATOMIC_POSITIONS crystal
Tl 0.000 0.000 0.000
Tl 0.000 0.000 0.500
Tl 0.000 0.500 0.000
Tl 0.500 0.000 0.000
Tc 0.375 0.375 0.375
Tc 0.625 0.625 0.625
Se 0.263 0.263 0.263
Se 0.263 0.263 0.710
Se 0.263 0.710 0.263
Se 0.290 0.737 0.737
Se 0.710 0.263 0.263
Se 0.737 0.290 0.737
Se 0.737 0.737 0.290
Se 0.737 0.737 0.737
CELL_PARAMETERS angstrom
0.000 5.974 5.974
5.974 0.000 5.974
5.974 5.974 0.000